Entry from Alexandria via LeMat-Bulk: a PBEsol-optimized structure of Ni2IrOs (meta-GGA SCAN).

## Properties
The value obtained for the formation energy is 124 kJ/mol of formula units. The energy is -43.509 eV/atom.

Unit cell a=2.654 b=4.308 c=4.452 alpha=90.00 beta=90.00 gamma=90.00
Space group Pmmm (No. 47)
One atom of each set of equivalent atoms:
Ni 0.000 0.000 0.000 [1 per cell]
Ni 0.500 0.000 0.500 [1 per cell]
Ir 0.000 0.500 0.500 [1 per cell]
Os 0.500 0.500 0.000 [1 per cell]